# 1
First-principles (PBE-GGA) data for a relaxed Sc2ReOs crystal, as listed in the Alexandria database.

It has space group F-43m (No. 216), with a = 6.4381 Å, b = 6.4381 Å, c = 6.4381 Å, α = 90.00°, β = 90.00° and γ = 90.00°. The asymmetric unit holds Sc at (0.0000, 0.0000, 0.0000), Sc at (0.2500, 0.2500, 0.2500), Re at (0.2500, 0.2500, 0.7500) and Os at (0.0000, 0.0000, 0.5000).

As for the raw total energy: -146.6 eV per cell.



# 2
First-principles (PBE-GGA) data for a relaxed Sc2ReOs crystal, as listed in the Alexandria database.

It has space group Pm (No. 6), with a = 2.9129 Å, b = 4.4703 Å, c = 5.3772 Å, α = 90.00°, β = 103.06° and γ = 90.00°. The asymmetric unit holds Sc at (0.0000, 0.0000, 0.0000), Sc at (0.2658, 0.5000, 0.7332), Re at (0.5271, 0.0000, 0.4737) and Os at (0.7495, 0.5000, 0.2567).

As for the raw total energy: -36.5 eV per cell.



# 3
First-principles (PBE-GGA) data for a relaxed ScReOs crystal, as listed in the Alexandria database.

It has space group I4mm (No. 107), with a = 3.1234 Å, b = 3.1234 Å, c = 9.9392 Å, α = 90.00°, β = 90.00° and γ = 90.00°. The asymmetric unit holds Sc at (0.0000, 0.0000, 0.0000), Re at (0.0000, 0.0000, 0.6757) and Os at (0.0000, 0.0000, 0.3274).

Its offset from the most stable computed form is 30.62 kJ per mole of atoms. As for the raw total energy: -60.3 eV per cell.



# 4
First-principles (PBE-GGA) data for a relaxed Sc2ReOs crystal, as listed in the Alexandria database.

It has space group I-4m2 (No. 119), with a = 3.8442 Å, b = 3.8442 Å, c = 9.2988 Å, α = 90.00°, β = 90.00° and γ = 90.00°. The asymmetric unit holds Sc at (0.0000, 0.0000, 0.0000), Sc at (0.0000, 0.5000, 0.2500), Re at (0.0000, 0.0000, 0.5000) and Os at (0.0000, 0.5000, 0.7500).

As for the raw total energy: -72.1 eV per cell.



# 5
First-principles (PBE-GGA) data for a relaxed Sc2ReOs crystal, as listed in the Alexandria database.

It has space group R3m (No. 160, hexagonal axes), with a = 2.9731 Å, b = 2.9731 Å, c = 28.3945 Å, α = 90.00°, β = 90.00° and γ = 120.00°. The asymmetric unit holds Sc at (0.0000, 0.0000, 0.0000), Sc at (0.0000, 0.0000, 0.2302), Re at (0.0000, 0.0000, 0.7474) and Os at (0.0000, 0.0000, 0.4851).

As for the raw total energy: -106.4 eV per cell.



# 6
First-principles (PBE-GGA) data for a relaxed Sc2ReOs crystal, as listed in the Alexandria database.

It has space group Pmm2 (No. 25), with a = 2.9431 Å, b = 4.2880 Å, c = 5.4625 Å, α = 90.00°, β = 90.00° and γ = 90.00°. The asymmetric unit holds Sc at (0.0000, 0.0000, 0.0000), Sc at (0.5000, 0.5000, 0.2748), Re at (0.5000, 0.5000, 0.7478) and Os at (0.0000, 0.0000, 0.5271).

As for the raw total energy: -36.0 eV per cell.



# 7
First-principles (PBE-GGA) data for a relaxed ScRe2Os crystal, as listed in the Alexandria database.

It has space group P4mm (No. 99), with a = 2.8123 Å, b = 2.8123 Å, c = 8.1401 Å, α = 90.00°, β = 90.00° and γ = 90.00°. The asymmetric unit holds Sc at (0.0000, 0.0000, 0.0000), Re at (0.0000, 0.0000, 0.4796), Re at (0.5000, 0.5000, 0.7214) and Os at (0.5000, 0.5000, 0.2651).

Its offset from the most stable computed form is 5.83 kJ per mole of atoms. As for the raw total energy: -42.4 eV per cell.



# 8
First-principles (PBE-GGA) data for a relaxed Sc2ReOs crystal, as listed in the Alexandria database.

It has space group P4/mmm (No. 123), with a = 4.5715 Å, b = 4.5715 Å, c = 3.2379 Å, α = 90.00°, β = 90.00° and γ = 90.00°. The asymmetric unit holds Sc at (0.0000, 0.5000, 0.0000), Re at (0.0000, 0.0000, 0.5000) and Os at (0.5000, 0.5000, 0.5000).

As for the raw total energy: -36.6 eV per cell.



Listing DOS at the Fermi energy for the structures above in their given order: 0.949 0.959 0.609 0.821 0.905 1.046 0.701 1.338 states/eV per atom.
Listing E_form for the structures above in their given order: -0.0762 -0.0462 -0.0527 0.0709 0.2187 0.0840 0.0207 -0.0629 eV per atom.